1.
The following is a DFT calculation (PBE) of a relaxed NaSr2AlC crystal.

Cell lengths 6.230, 5.520, 6.230 Å; angles 90.00, 90.00, 90.00 degrees
Site moments in Bohr magnetons follow the coordinates.
Element x y z (fractional)
1 Na 0.000 0.500 0.000  0.00
2 Al 0.000 0.000 0.000  0.02
3 C 0.500 0.500 0.500  1.03
4 Sr 0.500 0.000 0.000  0.03
5 Sr 0.000 0.000 0.500  0.02

Results
SG: P4/mmm, No. 123
DFT formation energy: 1.341 eV per atom
DOS(E_F): 3.9 states/eV per cell
Energy: -10.94 eV per formula unit
M_tot: 0.528 μB per atom
V: 42.9 Å³ per atom


2.
The following is a DFT calculation (PBE) of a relaxed NaAl2TcC crystal.

Cell lengths 4.826, 4.727, 4.826 Å; angles 90.00, 90.00, 90.00 degrees
Site moments in Bohr magnetons follow the coordinates.
Element x y z (fractional)
1 Al 0.000 0.000 0.500  0.00
2 Al 0.500 0.000 0.000  -0.01
3 C 0.500 0.500 0.500  -0.01
4 Tc 0.000 0.500 0.000  2.66
5 Na 0.000 0.000 0.000  0.02

Results
SG: P4/mmm, No. 123
DFT formation energy: 2.876 eV per atom
DOS(E_F): 4.5 states/eV per cell
Energy: -14.01 eV per formula unit
M_tot: 0.596 μB per atom
V: 22.0 Å³ per atom


3.
The following is a DFT calculation (PBE) of a relaxed NbAl3C crystal.

Cell lengths 5.073, 5.073, 5.073 Å; angles 90.00, 90.00, 90.00 degrees
Site moments in Bohr magnetons follow the coordinates.
Element x y z (fractional)
1 Al 0.000 0.000 0.500  -0.03
2 Al 0.000 0.500 0.000  -0.05
3 Al 0.500 0.000 0.000  -0.01
4 Nb 0.000 0.000 0.000  -1.07
5 C 0.500 0.500 0.500  0.78

Results
SG: Pm-3m, No. 221
DFT formation energy: 2.120 eV per atom
DOS(E_F): 3.1 states/eV per cell
Energy: -19.92 eV per formula unit
M_tot: 0.073 μB per atom
V: 26.1 Å³ per atom


4.
The following is a DFT calculation (PBE) of a relaxed Nb4Al2C crystal.

Cell lengths 2.945, 8.341, 9.786 Å; angles 150.54, 90.00, 90.00 degrees
Element x y z (fractional)
1 Nb 0.000 0.224 0.814
2 Nb 0.000 0.919 0.329
3 Nb 0.500 0.240 0.330
4 Nb 0.500 0.903 0.813
5 Al 0.500 0.539 0.826
6 Al 0.500 0.604 0.317
7 C 0.000 0.071 0.071

Results
SG: P2/m, No. 10
DFT formation energy: -0.002 eV per atom
DOS(E_F): 4.9 states/eV per cell
Energy: -57.01 eV per formula unit
M_tot: 0.000 μB per atom
V: 16.9 Å³ per atom


5.
The following is a DFT calculation (PBE) of a relaxed Nb3AlC crystal.

Cell lengths 3.258, 5.707, 8.569 Å; angles 90.00, 90.00, 106.59 degrees
Element x y z (fractional)
1 Al 0.746 0.491 0.750
2 Al 0.254 0.509 0.250
3 Nb 0.046 0.093 0.750
4 Nb 0.631 0.263 0.454
5 Nb 0.369 0.737 0.954
6 Nb 0.631 0.263 0.046
7 Nb 0.954 0.907 0.250
8 Nb 0.369 0.737 0.546
9 C 0.000 0.000 0.500
10 C 0.000 0.000 0.000

Results
SG: Cmcm, No. 63
DFT formation energy: -0.455 eV per atom
DOS(E_F): 3.6 states/eV per cell
Energy: -45.45 eV per formula unit
M_tot: 0.000 μB per atom
V: 15.3 Å³ per atom


6.
The following is a DFT calculation (PBE) of a relaxed Nb6Al3C crystal.

Cell lengths 7.848, 6.925, 6.925 Å; angles 46.35, 44.43, 44.43 degrees
Element x y z (fractional)
1 C 0.500 0.500 0.500
2 Al 0.000 0.000 0.000
3 Al 0.114 0.356 0.356
4 Al 0.886 0.644 0.644
5 Nb 0.410 0.170 0.653
6 Nb 0.075 0.752 0.752
7 Nb 0.925 0.248 0.248
8 Nb 0.410 0.653 0.170
9 Nb 0.590 0.347 0.830
10 Nb 0.590 0.830 0.347

Results
SG: C2/m, No. 12
DFT formation energy: -0.050 eV per atom
DOS(E_F): 6.5 states/eV per cell
Energy: -81.37 eV per formula unit
M_tot: 0.000 μB per atom
V: 17.2 Å³ per atom


7.
The following is a DFT calculation (PBE) of a relaxed NbAl3C crystal.

Cell lengths 4.137, 4.137, 4.137 Å; angles 90.00, 90.00, 90.00 degrees
Site moments in Bohr magnetons follow the coordinates.
Element x y z (fractional)
1 Al 0.500 0.000 0.000  -0.01
2 Al 0.000 0.500 0.000  0.01
3 Al 0.000 0.000 0.500  0.01
4 Nb 0.500 0.500 0.500  0.90
5 C 0.000 0.000 0.000  0.21

Results
SG: Pm-3m, No. 221
DFT formation energy: 0.435 eV per atom
DOS(E_F): 6.0 states/eV per cell
Energy: -28.34 eV per formula unit
M_tot: 0.305 μB per atom
V: 14.2 Å³ per atom


8.
The following is a DFT calculation (PBE) of a relaxed Nb4Al2C crystal.

Cell lengths 8.512, 8.512, 8.512 Å; angles 60.00, 60.00, 60.00 degrees
Element x y z (fractional)
1 Nb 0.806 0.194 0.194
2 Nb 0.625 0.625 0.125
3 Nb 0.625 0.125 0.625
4 Nb 0.056 0.056 0.444
5 Nb 0.625 0.625 0.625
6 Nb 0.056 0.444 0.444
7 Nb 0.444 0.056 0.056
8 Nb 0.125 0.625 0.625
9 Nb 0.806 0.806 0.194
10 Nb 0.444 0.056 0.444
11 Nb 0.056 0.444 0.056
12 Nb 0.194 0.194 0.806
13 Nb 0.194 0.806 0.806
14 Nb 0.194 0.806 0.194
15 Nb 0.444 0.444 0.056
16 Nb 0.806 0.194 0.806
17 Al 0.408 0.408 0.408
18 Al 0.475 0.842 0.842
19 Al 0.408 0.775 0.408
20 Al 0.842 0.475 0.842
21 Al 0.408 0.408 0.775
22 Al 0.775 0.408 0.408
23 Al 0.842 0.842 0.842
24 Al 0.842 0.842 0.475
25 C 0.125 0.125 0.625
26 C 0.125 0.125 0.125
27 C 0.125 0.625 0.125
28 C 0.625 0.125 0.125

Results
SG: Fd-3m, No. 227
DFT formation energy: -0.374 eV per atom
DOS(E_F): 13.8 states/eV per cell
Energy: -59.61 eV per formula unit
M_tot: 0.000 μB per atom
V: 15.6 Å³ per atom


9.
The following is a DFT calculation (PBE) of a relaxed Nb3AlC crystal.

Cell lengths 3.269, 9.547, 9.935 Å; angles 90.00, 90.00, 90.00 degrees
Element x y z (fractional)
1 Nb 0.750 0.082 0.752
2 Nb 0.750 0.582 0.748
3 Nb 0.250 0.830 0.794
4 Nb 0.750 0.170 0.206
5 Nb 0.750 0.870 0.531
6 Nb 0.250 0.130 0.469
7 Nb 0.750 0.370 0.969
8 Nb 0.750 0.670 0.294
9 Nb 0.250 0.918 0.248
10 Nb 0.250 0.630 0.031
11 Nb 0.250 0.418 0.252
12 Nb 0.250 0.330 0.706
13 Al 0.250 0.617 0.520
14 Al 0.250 0.117 0.980
15 Al 0.750 0.883 0.020
16 Al 0.750 0.383 0.480
17 C 0.250 0.979 0.633
18 C 0.750 0.521 0.133
19 C 0.250 0.479 0.867
20 C 0.750 0.021 0.367

Results
SG: Pnma, No. 62
DFT formation energy: -0.320 eV per atom
DOS(E_F): 12.5 states/eV per cell
Energy: -44.78 eV per formula unit
M_tot: 0.000 μB per atom
V: 15.5 Å³ per atom


10.
The following is a DFT calculation (PBE) of a relaxed NbAl2C crystal.

Cell lengths 6.913, 6.913, 5.410 Å; angles 50.29, 50.29, 90.00 degrees
Element x y z (fractional)
1 Al 0.375 0.469 0.750
2 Al 0.875 0.781 0.750
3 Al 0.531 0.125 0.250
4 Al 0.219 0.625 0.250
5 C 0.500 0.500 0.000
6 C 0.250 0.750 0.500
7 Nb 0.000 0.000 0.000
8 Nb 0.750 0.250 0.500

Results
SG: I-42d, No. 122
DFT formation energy: 0.225 eV per atom
DOS(E_F): 5.5 states/eV per cell
Energy: -25.88 eV per formula unit
M_tot: 0.000 μB per atom
V: 13.8 Å³ per atom


11.
The following is a DFT calculation (PBE) of a relaxed Nb3AlC2 crystal.

Cell lengths 3.137, 3.137, 19.215 Å; angles 90.00, 90.00, 120.00 degrees
Element x y z (fractional)
1 Nb 0.667 0.333 0.366
2 Nb 0.000 0.000 0.500
3 Nb 0.667 0.333 0.134
4 Nb 0.000 0.000 0.000
5 Nb 0.333 0.667 0.866
6 Nb 0.333 0.667 0.634
7 C 0.667 0.333 0.931
8 C 0.333 0.667 0.069
9 C 0.333 0.667 0.431
10 C 0.667 0.333 0.569
11 Al 0.000 0.000 0.750
12 Al 0.000 0.000 0.250

Results
SG: P6_3/mmc, No. 194
DFT formation energy: -0.540 eV per atom
DOS(E_F): 2.9 states/eV per cell
Energy: -55.64 eV per formula unit
M_tot: 0.000 μB per atom
V: 13.6 Å³ per atom


12.
The following is a DFT calculation (PBE) of a relaxed PaNb2AlC4 crystal.

Cell lengths 3.260, 5.735, 11.170 Å; angles 90.00, 90.00, 106.51 degrees
Element x y z (fractional)
1 C 0.000 0.000 0.500
2 C 0.000 0.000 0.000
3 C 0.454 0.909 0.750
4 C 0.267 0.534 0.382
5 C 0.267 0.534 0.118
6 C 0.733 0.466 0.618
7 C 0.733 0.466 0.882
8 C 0.546 0.091 0.250
9 Nb 0.630 0.261 0.460
10 Nb 0.370 0.739 0.540
11 Nb 0.370 0.739 0.960
12 Nb 0.630 0.261 0.040
13 Pa 0.884 0.768 0.250
14 Pa 0.116 0.232 0.750
15 Al 0.852 0.703 0.750
16 Al 0.148 0.297 0.250

Results
SG: Cmcm, No. 63
DFT formation energy: -0.262 eV per atom
DOS(E_F): 7.1 states/eV per cell
Energy: -72.37 eV per formula unit
M_tot: 0.000 μB per atom
V: 12.5 Å³ per atom


13.
The following is a DFT calculation (PBE) of a relaxed NbAl2PbC crystal.

Cell lengths 5.347, 5.347, 4.260 Å; angles 90.00, 90.00, 90.00 degrees
Site moments in Bohr magnetons follow the coordinates.
Element x y z (fractional)
1 C 0.000 0.000 0.500  -0.26
2 Al 0.000 0.500 0.000  -0.01
3 Al 0.500 0.000 0.000  -0.01
4 Nb 0.500 0.500 0.500  2.19
5 Pb 0.000 0.000 0.000  0.03

Results
SG: P4/mmm, No. 123
DFT formation energy: 2.215 eV per atom
DOS(E_F): 3.0 states/eV per cell
Energy: -19.41 eV per formula unit
M_tot: 0.489 μB per atom
V: 24.4 Å³ per atom


14.
The following is a DFT calculation (PBE) of a relaxed NbAlSbC2 crystal.

Cell lengths 3.962, 3.962, 5.264 Å; angles 90.00, 90.00, 90.00 degrees
Element x y z (fractional)
1 Sb 0.500 0.500 0.500
2 C 0.500 0.000 0.000
3 C 0.000 0.500 0.000
4 Al 0.000 0.000 0.000
5 Nb 0.000 0.000 0.500

Results
SG: P4/mmm, No. 123
DOS(E_F): 4.3 states/eV per cell
E_form (uncorrected): 1.72 eV per atom
Energy: -27.79 eV per formula unit
M_tot: 0.000 μB per atom
V: 16.5 Å³ per atom


15.
The following is a DFT calculation (PBE) of a relaxed Sc2NbAlC crystal.

Cell lengths 4.454, 4.454, 4.351 Å; angles 90.00, 90.00, 90.00 degrees
Element x y z (fractional)
1 Al 0.500 0.500 0.500
2 Nb 0.000 0.000 0.500
3 Sc 0.500 0.000 0.000
4 Sc 0.000 0.500 0.000
5 C 0.000 0.000 0.000

Results
SG: P4/mmm, No. 123
DFT formation energy: -0.463 eV per atom
DOS(E_F): 3.1 states/eV per cell
Energy: -38.01 eV per formula unit
M_tot: 0.000 μB per atom
V: 17.3 Å³ per atom


16.
The following is a DFT calculation (PBE) of a relaxed NbAlSiC2 crystal.

Cell lengths 3.753, 5.122, 3.753 Å; angles 90.00, 90.00, 90.00 degrees
Element x y z (fractional)
1 C 0.000 0.000 0.500
2 C 0.500 0.000 0.000
3 Nb 0.000 0.500 0.000
4 Al 0.500 0.500 0.500
5 Si 0.000 0.000 0.000

Results
SG: P4/mmm, No. 123
DOS(E_F): 3.6 states/eV per cell
E_form (uncorrected): 1.56 eV per atom
Energy: -29.89 eV per formula unit
M_tot: 0.000 μB per atom
V: 14.4 Å³ per atom


17.
The following is a DFT calculation (PBE) of a relaxed TiNb3Al2C2 crystal.

Cell lengths 3.113, 3.113, 13.918 Å; angles 90.00, 90.00, 120.00 degrees
Element x y z (fractional)
1 Nb 0.333 0.667 0.587
2 Nb 0.667 0.333 0.090
3 Nb 0.333 0.667 0.911
4 Al 0.667 0.333 0.749
5 Al 0.333 0.667 0.253
6 Ti 0.667 0.333 0.414
7 C 0.000 0.000 0.495
8 C 0.000 0.000 0.001

Results
SG: P3m1, No. 156
DFT formation energy: -0.578 eV per atom
DOS(E_F): 3.8 states/eV per cell
Energy: -68.66 eV per formula unit
M_tot: 0.000 μB per atom
V: 14.6 Å³ per atom


18.
The following is a DFT calculation (PBE) of a relaxed Ti2NbAlC crystal.

Cell lengths 4.127, 4.127, 4.408 Å; angles 90.00, 90.00, 90.00 degrees
Element x y z (fractional)
1 Al 0.500 0.500 0.500
2 Nb 0.000 0.000 0.500
3 Ti 0.500 0.000 0.000
4 Ti 0.000 0.500 0.000
5 C 0.000 0.000 0.000

Results
SG: P4/mmm, No. 123
DFT formation energy: -0.483 eV per atom
DOS(E_F): 1.6 states/eV per cell
Energy: -41.24 eV per formula unit
M_tot: 0.000 μB per atom
V: 15.0 Å³ per atom


19.
The following is a DFT calculation (PBE) of a relaxed Ti3NbAl2C2 crystal.

Cell lengths 3.075, 3.075, 13.847 Å; angles 90.00, 90.00, 120.00 degrees
Element x y z (fractional)
1 C 0.000 0.000 0.505
2 C 0.000 0.000 0.999
3 Al 0.333 0.667 0.246
4 Al 0.667 0.333 0.752
5 Ti 0.333 0.667 0.587
6 Ti 0.667 0.333 0.083
7 Ti 0.333 0.667 0.917
8 Nb 0.667 0.333 0.411

Results
SG: P3m1, No. 156
DFT formation energy: -0.667 eV per atom
DOS(E_F): 4.0 states/eV per cell
Energy: -65.02 eV per formula unit
M_tot: 0.000 μB per atom
V: 14.2 Å³ per atom


20.
The following is a DFT calculation (PBE) of a relaxed Nb2AlVC crystal.

Cell lengths 4.383, 4.383, 3.866 Å; angles 90.00, 90.00, 90.00 degrees
Element x y z (fractional)
1 C 0.000 0.000 0.000
2 Nb 0.000 0.500 0.000
3 Nb 0.500 0.000 0.000
4 V 0.000 0.000 0.500
5 Al 0.500 0.500 0.500

Results
SG: P4/mmm, No. 123
DFT formation energy: -0.265 eV per atom
DOS(E_F): 4.4 states/eV per cell
Energy: -43.55 eV per formula unit
M_tot: 0.000 μB per atom
V: 14.9 Å³ per atom


21.
The following is a DFT calculation (PBE) of a relaxed NbAlVC crystal.

Cell lengths 3.041, 3.041, 13.517 Å; angles 90.00, 90.00, 120.00 degrees
Element x y z (fractional)
1 C 0.000 0.000 0.500
2 C 0.000 0.000 0.000
3 Nb 0.667 0.333 0.594
4 Nb 0.333 0.667 0.406
5 Al 0.333 0.667 0.764
6 Al 0.667 0.333 0.236
7 V 0.333 0.667 0.079
8 V 0.667 0.333 0.921

Results
SG: P-3m1, No. 164
DFT formation energy: -0.480 eV per atom
DOS(E_F): 4.9 states/eV per cell
Energy: -34.07 eV per formula unit
M_tot: 0.000 μB per atom
V: 13.5 Å³ per atom


22.
The following is a DFT calculation (PBE) of a relaxed Zr2NbAlC crystal.

Cell lengths 4.582, 4.582, 4.234 Å; angles 90.00, 90.00, 90.00 degrees
Element x y z (fractional)
1 Zr 0.500 0.000 0.000
2 Zr 0.000 0.500 0.000
3 Al 0.500 0.500 0.500
4 C 0.000 0.000 0.000
5 Nb 0.000 0.000 0.500

Results
SG: P4/mmm, No. 123
DFT formation energy: -0.422 eV per atom
DOS(E_F): 2.2 states/eV per cell
Energy: -42.24 eV per formula unit
M_tot: 0.000 μB per atom
V: 17.8 Å³ per atom


23.
The following is a DFT calculation (PBE) of a relaxed Nd6Al2C crystal.

Cell lengths 7.083, 7.084, 10.014 Å; angles 90.00, 90.01, 90.00 degrees
Site moments in Bohr magnetons follow the coordinates.
Element x y z (fractional)
1 Nd 0.246 0.754 0.500  0.07
2 Nd 0.500 0.500 0.754  0.07
3 Nd 0.246 0.246 0.500  0.07
4 Nd 0.254 0.746 0.000  0.07
5 Nd 0.746 0.254 0.000  0.07
6 Nd 0.746 0.746 0.000  0.07
7 Nd 0.500 0.500 0.246  0.07
8 Nd 0.000 0.000 0.254  0.07
9 Nd 0.254 0.254 0.000  0.07
10 Nd 0.000 0.000 0.746  0.07
11 Nd 0.754 0.754 0.500  0.07
12 Nd 0.754 0.246 0.500  0.07
13 Al 0.500 0.000 0.750  0.00
14 Al 0.000 0.500 0.750  0.00
15 Al 0.000 0.500 0.250  0.00
16 Al 0.500 0.000 0.250  0.00
17 C 0.000 0.000 0.500  0.02
18 C 0.500 0.500 0.000  0.02

Results
SG: Fm-3m, No. 225
DFT formation energy: -0.188 eV per atom
DOS(E_F): 13.2 states/eV per cell
Energy: -47.01 eV per formula unit
M_tot: 0.126 μB per atom
V: 27.9 Å³ per atom


24.
The following is a DFT calculation (PBE) of a relaxed NdAlC2 crystal.

Cell lengths 3.533, 3.533, 5.476 Å; angles 71.18, 71.18, 60.00 degrees
Element x y z (fractional)
1 C 0.731 0.731 0.808
2 C 0.269 0.269 0.192
3 Al 0.000 0.000 0.000
4 Nd 0.500 0.500 0.500

Results
SG: R-3m, No. 166
DFT formation energy: 0.515 eV per atom
DOS(E_F): 3.4 states/eV per cell
Energy: -24.90 eV per formula unit
M_tot: 0.001 μB per atom
V: 13.7 Å³ per atom